1.
# SrZrAl2O

SrZrAl2O at its PBEsol-relaxed geometry (meta-GGA SCAN, the Alexandria database).

The value obtained for the uncorrected formation energy is 0.715 eV/atom. The volume is 25.50 Å³ per atom. The density comes out at 3.24 g/cm3. As for the calculated total energy: -71.1 eV for the cell shown.

a b c (Å): 5.587 5.587 4.084
angles (deg): 90.00 90.00 90.00
Element x y z (fractional)
Sr 0.000 0.000 0.000
Zr 0.500 0.500 0.500
Al 0.000 0.500 0.000
Al 0.500 0.000 0.000
O 0.000 0.000 0.500


2.
# Be2Al2Tl

Be2Al2Tl at its PBEsol-relaxed geometry (meta-GGA SCAN, the Alexandria database).

The volume is 16.70 Å³ per atom. The density comes out at 5.50 g/cm3. As for the calculated total energy: -94.3 eV for the cell shown. Its formation energy is 2.311 eV per formula unit.

a b c (Å): 6.358 6.358 6.358
angles (deg): 145.16 145.16 50.10
Element x y z (fractional)
Be 0.250 0.750 0.500
Be 0.750 0.250 0.500
Al 0.117 0.117 0.000
Al 0.883 0.883 0.000
Tl 0.500 0.500 0.000


3.
# Cd2CuHg

Cd2CuHg at its PBEsol-relaxed geometry (meta-GGA SCAN, the Alexandria database).

The volume is 18.37 Å³ per atom. The density comes out at 11.05 g/cm3. As for the calculated total energy: -143.7 eV for the cell shown. Its formation energy is 0.510 eV per formula unit.

a b c (Å): 4.404 4.404 3.798
angles (deg): 90.00 90.00 94.45
Element x y z (fractional)
Cd 0.000 0.500 0.000
Cd 0.500 0.000 0.000
Cu 0.000 0.000 0.500
Hg 0.500 0.500 0.500